First-principles (PBEsol) data for a relaxed structure of CuPtRh2, as listed in Alexandria.

Properties
* SG: C2/m
* relative energy among the computed polymorphs: 0.12 eV/f.u.
* E: -27.6 eV per cell
* formation enthalpy at 0 K: 0.00 eV per atom
* D(E_F): 1.262 states/eV per atom

Structure (CIF):
```
data_CuPtRh2
_chemical_formula_sum 'Cu1 Pt1 Rh2'
_space_group_name_H-M_alt 'P 1'
_space_group_IT_number 1
_space_group_name_Hall 'P 1'
_cell_length_a 4.6181
_cell_length_b 4.6181
_cell_length_c 4.6006
_cell_angle_alpha 99.73
_cell_angle_beta 99.73
_cell_angle_gamma 33.78
loop_
_atom_site_label
_atom_site_type_symbol
_atom_site_fract_x
_atom_site_fract_y
_atom_site_fract_z
Cu1 Cu 0.0000 0.0000 0.0000
Pt1 Pt 0.5000 0.5000 0.5000
Rh1 Rh 0.2504 0.2504 0.7541
Rh2 Rh 0.7496 0.7496 0.2459
```



First-principles (PBEsol) data for a relaxed structure of CuPtRh2, as listed in Alexandria.

Properties
* SG: P4mm
* relative energy among the computed polymorphs: 0.07 eV/f.u.
* E: -27.6 eV per cell
* formation enthalpy at 0 K: -0.01 eV per atom
* D(E_F): 1.225 states/eV per atom

Structure (CIF):
```
data_CuPtRh2
_chemical_formula_sum 'Cu1 Pt1 Rh2'
_space_group_name_H-M_alt 'P 1'
_space_group_IT_number 1
_space_group_name_Hall 'P 1'
_cell_length_a 2.6940
_cell_length_b 2.6940
_cell_length_c 7.3806
_cell_angle_alpha 90.00
_cell_angle_beta 90.00
_cell_angle_gamma 90.00
loop_
_atom_site_label
_atom_site_type_symbol
_atom_site_fract_x
_atom_site_fract_y
_atom_site_fract_z
Cu1 Cu 0.0000 0.0000 0.0000
Pt1 Pt 0.5000 0.5000 0.2478
Rh1 Rh 0.0000 0.0000 0.5127
Rh2 Rh 0.5000 0.5000 0.7564
```